1.
Compound: Rb2NaBiF
Source: Alexandria
Functional: PBE-GGA
Structure: optimized geometry

Summary:
E_form (uncorrected)	-1.1645	eV per atom
SG	P4/mmm
theoretical density	4.2	g cm⁻³
uncorrected energy	-0.2180	Ry per atom
spin magnetization	0.00	μB per formula unit

Lattice parameters (Å, degrees): 6.113 6.113 4.471 90.00 90.00 90.00
Positions (direct):
Rb  0.000  0.500  0.000
Rb  0.500  0.000  0.000
Na  0.000  0.000  0.500
Bi  0.500  0.500  0.500
F  0.000  0.000  0.000

2.
Compound: LaDyAlGa
Source: Alexandria
Functional: PBE-GGA
Structure: optimized geometry

Summary:
SG	Amm2
theoretical density	6.2	g cm⁻³
uncorrected energy	-0.3349	Ry per atom
spin magnetization	0.00	μB per formula unit
DFT formation energy	-481	meV per atom

Lattice parameters (Å, degrees): 4.215 6.096 6.096 43.09 90.00 90.00
Positions (direct):
La  0.000  0.000  0.000
Dy  0.500  0.720  0.720
Al  0.000  0.286  0.286
Ga  0.500  0.424  0.424